Record 1
Compound: Rb2NpRe3O12
Source: Alexandria
Functional: PBE
Structure: relaxed

Calculated values
The calculation puts the energy relative to the elements, uncorrected at -1925 meV per atom. The value obtained for the total energy is -146.4 eV/cell.

Structure (extended XYZ):
```
18
Lattice="3.6669 2.1171 6.2252 -3.6669 2.1171 6.2252 0.0000 -4.2342 6.2252" Properties=species:S:1:pos:R:3 pbc="T T T"
Rb 0.0000 0.0000 2.3197
Rb 0.0000 0.0000 16.3558
Np 0.0000 0.0000 9.3377
Re -1.8335 -1.0585 6.2252
Re -1.8335 1.0585 12.4503
Re 0.0000 2.1171 6.2252
O -1.5063 -0.8697 8.1521
O 0.0000 -1.5696 5.9890
O -1.3593 0.7848 5.9890
O 0.0000 -1.7393 10.5234
O -1.5063 0.8697 10.5234
O -1.3593 -0.7848 12.6865
O 1.3593 0.7848 5.9890
O 1.5063 -0.8697 8.1521
O 0.0000 1.7393 8.1521
O 1.3593 -0.7848 12.6864
O 0.0000 1.5696 12.6864
O 1.5063 0.8697 10.5234
```

=====

Record 2
Compound: RbNp2ReO8
Source: Alexandria
Functional: PBE
Structure: relaxed

Calculated values
The calculation puts the energy relative to the elements, uncorrected at -2214 meV per atom. The value obtained for the total energy is -105.5 eV/cell.

Structure (extended XYZ):
```
12
Lattice="5.0828 0.0000 0.0000 0.2945 5.0950 0.0000 0.4086 0.3638 7.0829" Properties=species:S:1:pos:R:3 pbc="T T T"
Rb 0.0000 0.0000 0.0000
Np 2.7036 2.5548 1.8005
Np 3.0824 2.9040 5.2824
Re 0.2043 0.1819 3.5415
O 1.4963 4.2940 4.8558
O 1.4395 4.2455 2.2196
O 1.6824 1.6020 3.4597
O 2.2129 2.1297 6.9396
O 3.5731 3.3291 0.1434
O 4.1036 3.8568 3.6232
O 4.3465 1.2133 4.8634
O 4.2897 1.1648 2.2272
```

=====

Record 3
Compound: Rb2Np3RhO12
Source: Alexandria
Functional: PBE
Structure: relaxed

Calculated values
The calculation puts the energy relative to the elements, uncorrected at -2322 meV per atom. The value obtained for the total energy is -149.4 eV/cell.

Structure (extended XYZ):
```
18
Lattice="3.9277 2.2676 5.9566 -3.9277 2.2676 5.9566 0.0000 -4.5353 5.9566" Properties=species:S:1:pos:R:3 pbc="T T T"
Rb 0.0000 0.0000 2.3143
Rb 0.0000 0.0000 15.5555
Np -1.9638 -1.1338 5.9566
Np -1.9638 1.1338 11.9132
Np 0.0000 2.2676 5.9566
Rh 0.0000 0.0000 8.9349
O 0.0000 -1.7426 5.4584
O -1.5091 0.8713 5.4584
O -1.4494 -0.8368 7.8188
O -1.5091 -0.8713 12.4114
O 0.0000 -1.6736 10.0509
O -1.4494 0.8368 10.0509
O 1.4494 -0.8368 7.8188
O 0.0000 1.6736 7.8188
O 1.5091 0.8713 5.4583
O 1.4494 0.8368 10.0510
O 1.5091 -0.8713 12.4115
O 0.0000 1.7426 12.4115
```

=====

Record 4
Compound: RbNpRhO6
Source: Alexandria
Functional: PBE
Structure: relaxed

Calculated values
The calculation puts the energy relative to the elements, uncorrected at -1807 meV per atom. The value obtained for the total energy is -67.3 eV/cell.

Structure (extended XYZ):
```
9
Lattice="5.3854 0.0000 0.0000 -2.6927 4.6639 0.0000 0.0000 0.0000 6.4357" Properties=species:S:1:pos:R:3 pbc="T T T"
Rb 0.0000 0.0000 0.0000
Np 2.6927 1.5546 3.2179
Rh 0.0000 3.1093 3.2179
O -0.9889 1.7253 4.3095
O -1.6930 2.9448 2.1262
O 0.9889 1.7253 2.1262
O -0.7041 4.6577 4.3095
O 1.6930 2.9448 4.3095
O 0.7041 4.6577 2.1262
```

=====

Record 5
Compound: Rb2Np3RuO12
Source: Alexandria
Functional: PBE
Structure: relaxed

Calculated values
The calculation puts the energy relative to the elements, uncorrected at -2338 meV per atom. The value obtained for the total energy is -151.6 eV/cell.

Structure (extended XYZ):
```
18
Lattice="3.9191 2.2627 6.0224 -3.9191 2.2627 6.0224 0.0000 -4.5254 6.0224" Properties=species:S:1:pos:R:3 pbc="T T T"
Rb 0.0000 0.0000 2.3258
Rb 0.0000 0.0000 15.7415
Np -1.9596 -1.1314 6.0224
Np -1.9596 1.1314 12.0448
Np 0.0000 2.2627 6.0224
Ru 0.0000 0.0000 9.0336
O 0.0000 -1.7397 5.5195
O -1.5066 0.8698 5.5195
O -1.4190 -0.8192 7.9216
O -1.5066 -0.8698 12.5478
O 0.0000 -1.6385 10.1457
O -1.4190 0.8192 10.1457
O 1.4190 -0.8192 7.9216
O 0.0000 1.6385 7.9216
O 1.5066 0.8698 5.5195
O 1.4190 0.8192 10.1457
O 1.5066 -0.8698 12.5478
O 0.0000 1.7397 12.5478
```

=====

Record 6
Compound: Rb2NpRuO6
Source: Alexandria
Functional: PBE
Structure: relaxed

Calculated values
The calculation puts the energy relative to the elements, uncorrected at -1913 meV per atom. The value obtained for the total energy is -73.0 eV/cell.

Structure (extended XYZ):
```
10
Lattice="0.0000 4.1338 4.1338 4.1338 0.0000 4.1338 4.1338 4.1338 0.0000" Properties=species:S:1:pos:R:3 pbc="T T T"
Rb 2.0669 2.0669 2.0669
Rb 6.2006 6.2006 6.2006
Np 0.0000 0.0000 0.0000
Ru 4.1338 4.1338 4.1338
O 4.1338 4.1338 2.1022
O 4.1338 2.1022 4.1338
O 6.1653 4.1338 4.1338
O 2.1022 4.1338 4.1338
O 4.1338 6.1653 4.1338
O 4.1338 4.1338 6.1653
```

=====

Record 7
Compound: Rb2NpS2O2
Source: Alexandria
Functional: PBE
Structure: relaxed

Calculated values
The calculation puts the energy relative to the elements, uncorrected at -1909 meV per atom. The value obtained for the total energy is -46.4 eV/cell.

Structure (extended XYZ):
```
7
Lattice="6.6261 -2.0520 0.0000 6.6261 2.0520 0.0000 -3.8035 0.0000 6.6077" Properties=species:S:1:pos:R:3 pbc="T T T"
Rb 1.6257 0.0000 1.2939
Rb 7.8231 0.0000 5.3139
Np -1.9018 0.0000 3.3039
S 5.1507 0.0000 1.5760
S 4.2981 0.0000 5.0317
O -0.1107 0.0000 3.7403
O 9.5594 0.0000 2.8674
```

=====

Record 8
Compound: RbNpSO2
Source: Alexandria
Functional: PBE
Structure: relaxed

Calculated values
The calculation puts the energy relative to the elements, uncorrected at -2120 meV per atom. The value obtained for the total energy is -38.6 eV/cell.

Structure (extended XYZ):
```
5
Lattice="4.3226 0.0000 0.0000 0.0000 4.3226 0.0000 0.0000 0.0000 5.3430" Properties=species:S:1:pos:R:3 pbc="T T T"
Rb 0.0000 0.0000 0.0000
Np 2.1613 2.1613 2.6068
S 2.1613 2.1613 5.2697
O 0.0000 2.1613 2.5921
O 2.1613 0.0000 2.5921
```